The following is a SCAN calculation of a PBEsol-optimized structure of Au3Br, from Alexandria via LeMat-Bulk.

Cell: 3.558 3.964 5.856 Å, 90.00 90.00 90.00°
Fractional positions:
Au (0.000, 0.000, 0.000)
Au (0.000, 0.500, 0.313)
Au (0.500, 0.000, 0.386)
Br (0.500, 0.500, 0.774)

Results
The density of states at the Fermi level comes out at 0.9 states/eV per cell. The calculated total energy is -56.515 eV per atom. The value obtained for the formation energy from raw total energies is 0.218 eV per atom.